Hf3CuPt12 after structural relaxation, computed with PBE-GGA.

abc: 4.0091 4.0091 15.9785
angles: 90.00 90.00 90.00
Closest atoms and distances in Å follow each position.
Positions (direct):
Hf 0.0000 0.0000 0.0000  12 Pt 2.83-2.85
Hf 0.0000 0.0000 0.2584  12 Pt 2.78-2.91
Hf 0.0000 0.0000 0.7416  12 Pt 2.78-2.91
Cu 0.0000 0.0000 0.5000  12 Pt 2.78-2.83
Pt 0.0000 0.5000 0.1266  8 Pt 2.83-2.85, 4 Hf 2.85-2.91
Pt 0.0000 0.5000 0.3791  2 Hf 2.78, 2 Cu 2.78, 8 Pt 2.78-2.85
Pt 0.0000 0.5000 0.6209  2 Hf 2.78, 2 Cu 2.78, 8 Pt 2.78-2.85
Pt 0.0000 0.5000 0.8734  8 Pt 2.83-2.85, 4 Hf 2.85-2.91
Pt 0.5000 0.0000 0.1266  8 Pt 2.83-2.85, 4 Hf 2.85-2.91
Pt 0.5000 0.0000 0.3791  2 Hf 2.78, 2 Cu 2.78, 8 Pt 2.78-2.85
Pt 0.5000 0.0000 0.6209  2 Hf 2.78, 2 Cu 2.78, 8 Pt 2.78-2.85
Pt 0.5000 0.0000 0.8734  8 Pt 2.83-2.85, 4 Hf 2.85-2.91
Pt 0.5000 0.5000 0.0000  4 Hf 2.83, 8 Pt 2.85
Pt 0.5000 0.5000 0.2523  4 Hf 2.84, 8 Pt 2.84-2.85
Pt 0.5000 0.5000 0.5000  8 Pt 2.78, 4 Cu 2.83
Pt 0.5000 0.5000 0.7477  4 Hf 2.84, 8 Pt 2.84-2.85

Properties
Magnetic moment (μB per formula unit): 0.000
Volume (Å³/f.u.): 256.8
Formation energy from the elements (eV/atom): -0.874
SG: P4/mmm, No. 123